Entry 1:
Density functional theory data (PBEsol) for Rb2MnTeN after structural relaxation.

Cell: 6.8961 6.8961 4.9790 Å, 90.00 90.00 90.00°
Last column: nearest neighbours and their distance in Å.
Element x y z (fractional)
Rb (0.0000, 0.5000, 0.0000)  2 Te 3.45
Rb (0.5000, 0.0000, 0.0000)  2 Te 3.45
Mn (0.0000, 0.0000, 0.5000)  2 Te 2.49
Te (0.0000, 0.0000, 0.0000)  2 Mn 2.49
N (0.5000, 0.5000, 0.5000)  8 Rb 4.25

Properties
* crystal system: tetragonal
* raw formation energy: 0.949 eV/atom
* electronic total energy: -19.120 eV per cell
* SG: No. 123
* ρ: 2.6 Mg/m³

=====

Entry 2:
Density functional theory data (PBEsol) for MnReN2 after structural relaxation.

Cell: 6.5659 6.5659 6.5659 Å, 23.26 23.26 23.26°
Last column: nearest neighbours and their distance in Å.
Element x y z (fractional)
Mn (0.0000, 0.0000, 0.0000)  6 N 1.94
Re (0.5000, 0.5000, 0.5000)  2 N 2.00
N (0.3956, 0.3956, 0.3956)  3 Mn 1.94, 1 Re 2.00
N (0.6044, 0.6044, 0.6044)  3 Mn 1.94, 1 Re 2.00

Properties
* ΔE to the lowest computed polymorph: 0.261 eV per atom
* crystal system: trigonal
* raw formation energy: 0.074 eV/atom
* electronic total energy: -39.851 eV per cell
* SG: No. 166
* ρ: 11.5 Mg/m³

=====

Entry 3:
Density functional theory data (PBEsol) for MnReN2 after structural relaxation.

Cell: 5.0298 5.9776 5.3418 Å, 90.00 90.00 90.00°
Last column: nearest neighbours and their distance in Å.
Element x y z (fractional)
Mn (0.0709, 0.1144, 0.0000)  4 N 1.84-1.92
Mn (0.4291, 0.6144, 0.5000)  4 N 1.84-1.92
Mn (0.5709, 0.3856, 0.0000)  4 N 1.84-1.92
Mn (0.9291, 0.8856, 0.5000)  4 N 1.84-1.92
Re (0.1223, 0.6722, 0.8868)  4 N 1.96-2.05
Re (0.3777, 0.1722, 0.3868)  4 N 1.96-2.05
Re (0.6223, 0.8278, 0.8868)  4 N 1.96-2.05
Re (0.8777, 0.3278, 0.3868)  4 N 1.96-2.05
N (0.0607, 0.5866, 0.5330)  2 Mn 1.87-1.91, 2 Re 1.96-1.98
N (0.0794, 0.1353, 0.6418)  2 Mn 1.84-1.92, 2 Re 2.04-2.05
N (0.4206, 0.6353, 0.1418)  2 Mn 1.84-1.92, 2 Re 2.04-2.05
N (0.4393, 0.0866, 0.0330)  2 Mn 1.87-1.91, 2 Re 1.96-1.98
N (0.5607, 0.9134, 0.5330)  2 Mn 1.87-1.91, 2 Re 1.96-1.98
N (0.5794, 0.3647, 0.6418)  2 Mn 1.84-1.92, 2 Re 2.04-2.05
N (0.9206, 0.8647, 0.1418)  2 Mn 1.84-1.92, 2 Re 2.04-2.05
N (0.9393, 0.4134, 0.0330)  2 Mn 1.87-1.91, 2 Re 1.96-1.98

Properties
* ΔE to the lowest computed polymorph: 0.000 eV per atom
* crystal system: orthorhombic
* raw formation energy: -0.187 eV/atom
* electronic total energy: -163.582 eV per cell
* SG: No. 33
* ρ: 11.1 Mg/m³

=====

Entry 4:
Density functional theory data (PBEsol) for ScMn2ReN after structural relaxation.

Cell: 4.3886 4.3886 5.1695 Å, 90.00 90.00 90.00°
Last column: nearest neighbours and their distance in Å.
Element x y z (fractional)
Sc (0.0000, 0.0000, 0.0000)  2 Re 2.58
Mn (0.0000, 0.5000, 0.5000)  2 Re 2.19
Mn (0.5000, 0.0000, 0.5000)  2 Re 2.19
Re (0.0000, 0.0000, 0.5000)  4 Mn 2.19
N (0.5000, 0.5000, 0.0000)  4 Sc 3.10, 8 Mn 3.39

Properties
* crystal system: tetragonal
* raw formation energy: 1.901 eV/atom
* electronic total energy: -38.479 eV per cell
* SG: No. 123
* ρ: 5.9 Mg/m³

=====

Entry 5:
Density functional theory data (PBEsol) for MnZn2ReN after structural relaxation.

Cell: 4.8719 4.8719 4.4303 Å, 90.00 90.00 90.00°
Last column: nearest neighbours and their distance in Å.
Element x y z (fractional)
Mn (0.0000, 0.0000, 0.0000)  2 Re 2.22
Zn (0.0000, 0.5000, 0.5000)  2 Re 2.44
Zn (0.5000, 0.0000, 0.5000)  2 Re 2.44
Re (0.0000, 0.0000, 0.5000)  2 Mn 2.22, 4 Zn 2.44
N (0.5000, 0.5000, 0.0000)  8 Zn 3.29, 4 Mn 3.44

Properties
* crystal system: tetragonal
* raw formation energy: 2.172 eV/atom
* electronic total energy: -23.926 eV per cell
* SG: No. 123
* ρ: 6.1 Mg/m³

=====

Entry 6:
Density functional theory data (PBEsol) for MnRh3N after structural relaxation.

Cell: 3.9950 3.9950 3.9950 Å, 90.00 90.00 90.00°
Last column: nearest neighbours and their distance in Å.
Element x y z (fractional)
Mn (0.0000, 0.0000, 0.0000)  12 Rh 2.82
Rh (0.0000, 0.5000, 0.5000)  2 N 2.00
Rh (0.5000, 0.0000, 0.5000)  2 N 2.00
Rh (0.5000, 0.5000, 0.0000)  2 N 2.00
N (0.5000, 0.5000, 0.5000)  6 Rh 2.00

Properties
* crystal system: cubic
* raw formation energy: 0.091 eV/atom
* electronic total energy: -42.246 eV per cell
* SG: No. 221
* ρ: 9.8 Mg/m³

=====

The calculation returns the following Fermi-level density of states values, one per record and in order: 1.129, 0.757, 0.483, 0.532, 0.714, 0.812 states/eV per atom.
The calculation returns the following V values, one per record and in order: 236.8, 38.8, 160.6, 99.6, 105.2, 63.8 Å³/cell.
The calculation returns the following spin magnetization values, one per record and in order: 6.166, 0.430, 0.002, 4.673, 5.292, 5.319 Bohr magnetons per cell.